(1)
VASP calculation (SCAN) on a crystal of Cr2AsIr relaxed with PBEsol.

The crystal system is orthorhombic. Its uncorrected energy is -32.063 eV per atom. The calculation puts the energy relative to the elements at -0.048 eV per atom. As for the calculated density: 11.65 Mg/m³.

Cell: 2.799 3.701 5.106 Å, 90.00 90.00 90.00°
Site moments in Bohr magnetons follow the coordinates.
Atoms (fractional coordinates):
1 As 0.500 0.500 0.770  -0.02
2 Cr 0.500 0.500 0.267  -2.42
3 Cr 0.000 0.000 0.987  2.94
4 Ir 0.000 0.000 0.476  0.28



(2)
VASP calculation (SCAN) on a crystal of MgBeHg relaxed with PBEsol.

The crystal system is trigonal. Its uncorrected energy is -25.572 eV per atom. The calculation puts the energy relative to the elements at 0.259 eV per atom. As for the calculated density: 7.37 Mg/m³.

Cell: 3.096 3.096 6.349 Å, 90.00 90.00 120.00°
Atoms (fractional coordinates):
1 Be 0.000 0.000 0.989
2 Mg 0.667 0.333 0.314
3 Hg 0.333 0.667 0.697



(3)
VASP calculation (SCAN) on a crystal of PBr2 relaxed with PBEsol.

The crystal system is orthorhombic. Its uncorrected energy is -16.468 eV per atom. As for the calculated density: 3.28 Mg/m³.

Cell: 4.051 4.051 6.797 Å, 100.36 100.36 113.48°
Site moments in Bohr magnetons follow the coordinates.
Atoms (fractional coordinates):
1 P 0.126 0.126 0.000  0.37
2 Br 0.573 0.573 0.272  0.07
3 Br 0.301 0.301 0.728  0.07



(4)
VASP calculation (SCAN) on a crystal of NaYMnIn2 relaxed with PBEsol.

The crystal system is tetragonal. Its uncorrected energy is -22.808 eV per atom. The calculation puts the energy relative to the elements at 0.609 eV per atom. As for the calculated density: 3.96 Mg/m³.

Cell: 4.948 5.793 5.793 Å, 90.00 90.00 90.00°
Site moments in Bohr magnetons follow the coordinates.
Atoms (fractional coordinates):
1 In 0.000 0.500 0.000  -0.11
2 Mn 0.500 0.000 0.000  3.81
3 In 0.000 0.000 0.500  -0.11
4 Na 0.500 0.500 0.500  0.00
5 Y 0.000 0.000 0.000  -0.53



(5)
VASP calculation (SCAN) on a crystal of Y2ZrFeCo relaxed with PBEsol.

The crystal system is tetragonal. Its uncorrected energy is -23.934 eV per atom. The calculation puts the energy relative to the elements at 0.430 eV per atom. As for the calculated density: 5.77 Mg/m³.

Cell: 4.542 4.932 4.932 Å, 90.00 90.00 90.00°
Site moments in Bohr magnetons follow the coordinates.
Atoms (fractional coordinates):
1 Zr 0.500 0.500 0.500  -1.01
2 Co 0.000 0.000 0.000  0.59
3 Y 0.000 0.000 0.500  -0.26
4 Fe 0.500 0.000 0.000  3.12
5 Y 0.000 0.500 0.000  -0.26



(6)
VASP calculation (SCAN) on a crystal of AsIrPdBr2 relaxed with PBEsol.

The crystal system is tetragonal. Its uncorrected energy is -31.939 eV per atom. As for the calculated density: 7.35 Mg/m³.

Cell: 4.551 5.145 5.145 Å, 90.00 90.00 90.00°
Atoms (fractional coordinates):
1 Pd 0.500 0.500 0.500
2 Br 0.000 0.500 0.000
3 Ir 0.000 0.000 0.000
4 Br 0.000 0.000 0.500
5 As 0.500 0.000 0.000



(7)
VASP calculation (SCAN) on a crystal of Ba2CdS3 relaxed with PBEsol.

The crystal system is orthorhombic. Its uncorrected energy is -24.924 eV per atom. As for the calculated density: 4.88 Mg/m³.

Cell: 4.322 8.886 17.143 Å, 90.00 90.00 90.00°
Atoms (fractional coordinates):
1 Ba 0.250 0.264 0.458
2 S 0.250 0.816 0.225
3 S 0.250 0.316 0.275
4 S 0.750 0.684 0.725
5 Cd 0.250 0.878 0.369
6 S 0.750 0.381 0.572
7 Cd 0.750 0.122 0.631
8 Ba 0.250 0.921 0.785
9 Cd 0.250 0.378 0.131
10 S 0.750 0.881 0.928
11 S 0.750 0.515 0.095
12 Ba 0.750 0.736 0.542
13 Ba 0.250 0.764 0.042
14 Ba 0.750 0.079 0.215
15 S 0.750 0.184 0.775
16 S 0.750 0.015 0.405
17 Ba 0.750 0.579 0.285
18 Cd 0.750 0.622 0.869
19 S 0.250 0.119 0.072
20 S 0.250 0.619 0.428
21 S 0.250 0.985 0.595
22 Ba 0.250 0.421 0.715
23 Ba 0.750 0.236 0.958
24 S 0.250 0.485 0.905



(8)
VASP calculation (SCAN) on a crystal of KSb2Mo relaxed with PBEsol.

The crystal system is tetragonal. Its uncorrected energy is -29.134 eV per atom. As for the calculated density: 5.81 Mg/m³.

Cell: 3.646 3.646 8.144 Å, 90.00 90.00 90.00°
Atoms (fractional coordinates):
1 Sb 0.000 0.000 0.940
2 K 0.000 0.000 0.502
3 Sb 0.500 0.500 0.196
4 Mo 0.500 0.500 0.861



(9)
VASP calculation (SCAN) on a crystal of NbNi2BF relaxed with PBEsol.

The crystal system is tetragonal. Its uncorrected energy is -14.657 eV per atom. As for the calculated density: 6.80 Mg/m³.

Cell: 3.731 3.731 4.210 Å, 90.00 90.00 90.00°
Atoms (fractional coordinates):
1 Nb 0.000 0.000 0.500
2 B 0.500 0.500 0.500
3 Ni 0.000 0.500 0.000
4 Ni 0.500 0.000 0.000
5 F 0.000 0.000 0.000



(10)
VASP calculation (SCAN) on a crystal of Tl2HgSb relaxed with PBEsol.

The crystal system is monoclinic. Its uncorrected energy is -62.506 eV per atom. As for the calculated density: 11.08 Mg/m³.

Cell: 3.294 4.482 7.422 Å, 90.00 89.89 90.00°
Atoms (fractional coordinates):
1 Tl 0.002 0.000 0.248
2 Tl 0.998 0.000 0.752
3 Hg 0.500 0.500 0.000
4 Sb 0.500 0.500 0.500



(11)
VASP calculation (SCAN) on a crystal of InAgP2S6 relaxed with PBEsol.

The crystal system is trigonal. Its uncorrected energy is -14.749 eV per atom. As for the calculated density: 3.73 Mg/m³.

Cell: 6.128 6.128 13.054 Å, 90.00 90.00 120.00°
Atoms (fractional coordinates):
1 S 0.980 0.322 0.621
2 In 0.000 0.000 0.750
3 S 0.020 0.678 0.379
4 P 0.333 0.667 0.336
5 P 0.667 0.333 0.664
6 P 0.667 0.333 0.836
7 S 0.322 0.980 0.121
8 P 0.333 0.667 0.164
9 Ag 0.667 0.333 0.250
10 S 0.657 0.980 0.379
11 In 0.000 0.000 0.250
12 Ag 0.333 0.667 0.750
13 S 0.678 0.020 0.879
14 S 0.020 0.343 0.121
15 S 0.980 0.657 0.879
16 S 0.343 0.322 0.879
17 S 0.322 0.343 0.379
18 S 0.678 0.657 0.621
19 S 0.657 0.678 0.121
20 S 0.343 0.020 0.621



(12)
VASP calculation (SCAN) on a crystal of MgMnMo2 relaxed with PBEsol.

The crystal system is orthorhombic. Its uncorrected energy is -23.026 eV per atom. The calculation puts the energy relative to the elements at 0.224 eV per atom. As for the calculated density: 7.76 Mg/m³.

Cell: 3.013 4.356 5.155 Å, 114.99 106.99 90.00°
Site moments in Bohr magnetons follow the coordinates.
Atoms (fractional coordinates):
1 Mo 0.732 0.732 0.463  -0.38
2 Mg 0.500 0.000 0.000  -0.02
3 Mn 0.000 0.500 0.000  1.91
4 Mo 0.268 0.268 0.537  -0.38